This record from the Alexandria database describes a geometry-optimized Dy2NpF11 structure. The functional is PBE.

abc: 8.5805 8.5805 8.5805
angles: 123.88 106.02 99.59
Fractional coordinates of all 28 atoms:
Dy (0.1818, 0.1348, 0.3166)
Dy (0.3182, 0.6348, 0.9531)
Dy (0.6818, 0.3652, 0.0469)
Dy (0.8182, 0.8652, 0.6834)
Np (0.2500, 0.7500, 0.5000)
Np (0.7500, 0.2500, 0.5000)
F (0.0000, 0.0000, 0.0000)
F (0.0206, 0.4454, 0.7687)
F (0.0737, 0.8451, 0.6429)
F (0.1766, 0.9454, 0.4247)
F (0.2022, 0.4309, 0.3571)
F (0.2255, 0.8727, 0.0982)
F (0.2745, 0.3727, 0.6472)
F (0.2978, 0.6549, 0.2287)
F (0.3234, 0.7481, 0.7687)
F (0.4263, 0.0691, 0.7713)
F (0.4794, 0.2481, 0.4247)
F (0.5000, 0.5000, 0.0000)
F (0.5206, 0.7519, 0.5753)
F (0.5737, 0.9309, 0.2287)
F (0.6766, 0.2519, 0.2313)
F (0.7022, 0.3451, 0.7713)
F (0.7255, 0.6273, 0.3528)
F (0.7745, 0.1273, 0.9018)
F (0.7978, 0.5691, 0.6429)
F (0.8234, 0.0546, 0.5753)
F (0.9263, 0.1549, 0.3571)
F (0.9794, 0.5546, 0.2313)

As for the calculated volume: 16.489 Å³ per atom. As for the symmetry: Ibam (72). For the uncorrected formation energy, the calculation gives -3706 meV per atom.

This record from the Alexandria database describes a geometry-optimized DyNpF6 structure. The functional is PBE.

abc: 5.4353 5.4353 8.0470
angles: 90.00 90.00 90.00
Fractional coordinates of all 16 atoms:
Dy (0.0000, 0.0000, 0.2500)
Dy (0.0000, 0.0000, 0.7500)
Np (0.5000, 0.5000, 0.0000)
Np (0.5000, 0.5000, 0.5000)
F (0.1558, 0.8055, 0.0000)
F (0.1945, 0.1558, 0.5000)
F (0.2379, 0.6886, 0.3173)
F (0.2379, 0.6886, 0.6827)
F (0.3114, 0.2379, 0.1827)
F (0.3114, 0.2379, 0.8173)
F (0.6886, 0.7621, 0.1827)
F (0.6886, 0.7621, 0.8173)
F (0.7621, 0.3114, 0.3173)
F (0.7621, 0.3114, 0.6827)
F (0.8055, 0.8442, 0.5000)
F (0.8442, 0.1945, 0.0000)

As for the calculated volume: 14.858 Å³ per atom. As for the symmetry: P4_2/m (84). For the uncorrected formation energy, the calculation gives -3751 meV per atom. The value obtained for the distance to the lowest polymorph of the same formula is 0.0000 eV/atom.

This record from the Alexandria database describes a geometry-optimized DyNpF6 structure. The functional is PBE.

abc: 5.1191 5.1191 5.7714
angles: 95.96 95.96 111.30
Fractional coordinates of all 8 atoms:
Dy (0.0000, 0.0000, 0.0000)
Np (0.5000, 0.5000, 0.5000)
F (0.0642, 0.3817, 0.2534)
F (0.2689, 0.2689, 0.7802)
F (0.3817, 0.0642, 0.2534)
F (0.6183, 0.9358, 0.7466)
F (0.7311, 0.7311, 0.2198)
F (0.9358, 0.6183, 0.7466)

As for the calculated volume: 17.313 Å³ per atom. As for the symmetry: C2/m (12). For the uncorrected formation energy, the calculation gives -3679 meV per atom. The value obtained for the distance to the lowest polymorph of the same formula is 0.0723 eV/atom.

This record from the Alexandria database describes a geometry-optimized DyNp2F11 structure. The functional is PBE.

abc: 8.6387 8.6387 8.6387
angles: 121.63 106.71 100.84
Fractional coordinates of all 28 atoms:
Dy (0.2500, 0.2500, 0.0000)
Dy (0.7500, 0.7500, 0.0000)
Np (0.1817, 0.6530, 0.8347)
Np (0.3183, 0.1530, 0.4713)
Np (0.6817, 0.8470, 0.5287)
Np (0.8183, 0.3470, 0.1653)
F (0.0000, 0.5000, 0.5000)
F (0.0338, 0.9477, 0.2660)
F (0.0678, 0.3522, 0.1454)
F (0.1817, 0.4477, 0.9139)
F (0.2068, 0.9224, 0.8546)
F (0.2135, 0.3731, 0.5866)
F (0.2865, 0.8731, 0.1596)
F (0.2932, 0.1478, 0.7156)
F (0.3183, 0.2322, 0.2660)
F (0.4322, 0.5776, 0.2844)
F (0.4662, 0.7322, 0.9139)
F (0.5000, 0.0000, 0.5000)
F (0.5338, 0.2678, 0.0861)
F (0.5678, 0.4224, 0.7156)
F (0.6817, 0.7678, 0.7340)
F (0.7068, 0.8522, 0.2844)
F (0.7135, 0.1269, 0.8404)
F (0.7865, 0.6269, 0.4134)
F (0.7932, 0.0775, 0.1454)
F (0.8183, 0.5523, 0.0861)
F (0.9322, 0.6478, 0.8546)
F (0.9662, 0.0523, 0.7340)

As for the calculated volume: 17.080 Å³ per atom. As for the symmetry: Ibam (72). For the uncorrected formation energy, the calculation gives -3651 meV per atom.

This record from the Alexandria database describes a geometry-optimized Dy3NpO6F2 structure. The functional is PBE.

abc: 6.8063 6.8063 4.7138
angles: 92.58 92.58 59.19
Fractional coordinates of all 12 atoms:
Dy (0.0000, 0.0000, 0.0000)
Dy (0.0000, 0.5000, 0.5000)
Dy (0.5000, 0.0000, 0.5000)
Np (0.5000, 0.5000, 0.5000)
O (0.1756, 0.6692, 0.7268)
O (0.3308, 0.8244, 0.2732)
O (0.3350, 0.3350, 0.2959)
O (0.6650, 0.6650, 0.7041)
O (0.6692, 0.1756, 0.7268)
O (0.8244, 0.3308, 0.2732)
F (0.1699, 0.1699, 0.7601)
F (0.8301, 0.8301, 0.2399)

As for the calculated volume: 15.609 Å³ per atom. As for the symmetry: C2/m (12). For the uncorrected formation energy, the calculation gives -3363 meV per atom.

This record from the Alexandria database describes a geometry-optimized DyO2F3 structure. The functional is PBE.

abc: 8.4898 8.4898 7.0621
angles: 105.59 105.59 29.86
Fractional coordinates of all 12 atoms:
Dy (0.9997, 0.0003, 0.2500)
Dy (0.0003, 0.9997, 0.7500)
O (0.1435, 0.3914, 0.5119)
O (0.3914, 0.1435, 0.0119)
O (0.6086, 0.8565, 0.9881)
O (0.8565, 0.6086, 0.4881)
F (0.0779, 0.0904, 0.0548)
F (0.0904, 0.0779, 0.5548)
F (0.4998, 0.5002, 0.2500)
F (0.5002, 0.4998, 0.7500)
F (0.9096, 0.9221, 0.4452)
F (0.9221, 0.9096, 0.9452)

As for the calculated volume: 20.288 Å³ per atom. As for the symmetry: C2/c (15). For the uncorrected formation energy, the calculation gives -2675 meV per atom.

This record from the Alexandria database describes a geometry-optimized DyOF structure. The functional is PBE.

abc: 3.5488 3.5488 4.9311
angles: 90.00 90.00 120.00
Fractional coordinates of all 3 atoms:
Dy (0.0000, 0.0000, 0.0000)
O (0.6667, 0.3333, 0.1515)
F (0.3333, 0.6667, 0.7530)

As for the calculated volume: 17.928 Å³ per atom. As for the symmetry: P3m1 (156). For the uncorrected formation energy, the calculation gives -3636 meV per atom.

This record from the Alexandria database describes a geometry-optimized DyOF structure. The functional is PBE.

abc: 11.0614 3.7189 4.0949
angles: 90.00 90.00 90.00
Fractional coordinates of all 12 atoms:
Dy (0.1009, 0.2500, 0.2472)
Dy (0.3991, 0.7500, 0.7472)
Dy (0.6009, 0.2500, 0.2528)
Dy (0.8991, 0.7500, 0.7528)
O (0.0158, 0.2500, 0.7444)
O (0.4842, 0.7500, 0.2444)
O (0.5158, 0.2500, 0.7556)
O (0.9842, 0.7500, 0.2556)
F (0.2255, 0.7500, 0.0792)
F (0.2745, 0.2500, 0.5792)
F (0.7255, 0.7500, 0.4208)
F (0.7745, 0.2500, 0.9208)

As for the calculated volume: 14.038 Å³ per atom. As for the symmetry: Pnma (62). For the uncorrected formation energy, the calculation gives -3897 meV per atom.

This record from the Alexandria database describes a geometry-optimized DyOF structure. The functional is PBE.

abc: 4.9238 4.9238 4.9238
angles: 112.59 100.22 116.00
Fractional coordinates of all 6 atoms:
Dy (0.0000, 0.0000, 0.0000)
Dy (0.5000, 0.0000, 0.5000)
O (0.4785, 0.7285, 0.7500)
O (0.5215, 0.2715, 0.2500)
F (0.0000, 0.0000, 0.5000)
F (0.0000, 0.5000, 0.0000)

As for the calculated volume: 15.007 Å³ per atom. As for the symmetry: Imma (74). For the uncorrected formation energy, the calculation gives -3052 meV per atom.

This record from the Alexandria database describes a geometry-optimized DyOF structure. The functional is PBE.

abc: 3.2858 3.2858 4.3905
angles: 90.09 90.09 90.01
Fractional coordinates of all 3 atoms:
Dy (0.0000, 0.0000, 0.0000)
O (0.4998, 0.4998, 0.0001)
F (0.9989, 0.9989, 0.5000)

As for the calculated volume: 15.800 Å³ per atom. As for the symmetry: Cm (8). For the uncorrected formation energy, the calculation gives -3648 meV per atom.

This record from the Alexandria database describes a geometry-optimized Dy2OF3 structure. The functional is PBE.

abc: 7.5297 7.5297 3.8518
angles: 90.00 90.00 120.00
Fractional coordinates of all 12 atoms:
Dy (0.0000, 0.0000, 0.0000)
Dy (0.0000, 0.5000, 0.0000)
Dy (0.5000, 0.0000, 0.0000)
Dy (0.5000, 0.5000, 0.0000)
O (0.3333, 0.6667, 0.1554)
O (0.6667, 0.3333, 0.8446)
F (0.1583, 0.3166, 0.7826)
F (0.1583, 0.8417, 0.7826)
F (0.3166, 0.1583, 0.2174)
F (0.6834, 0.8417, 0.7826)
F (0.8417, 0.1583, 0.2174)
F (0.8417, 0.6834, 0.2174)

As for the calculated volume: 15.761 Å³ per atom. As for the symmetry: P-3m1 (164). For the uncorrected formation energy, the calculation gives -3433 meV per atom.

This record from the Alexandria database describes a geometry-optimized DyOF structure. The functional is PBE.

abc: 6.7337 6.7337 6.7337
angles: 32.97 32.97 32.97
Fractional coordinates of all 6 atoms:
Dy (0.2409, 0.2409, 0.2409)
Dy (0.7591, 0.7591, 0.7591)
O (0.1218, 0.1218, 0.1218)
O (0.8782, 0.8782, 0.8782)
F (0.3701, 0.3701, 0.3701)
F (0.6299, 0.6299, 0.6299)

As for the calculated volume: 13.409 Å³ per atom. As for the symmetry: R-3m (166). For the uncorrected formation energy, the calculation gives -3901 meV per atom.